1 | Here is LaZr2Mn at its PBEsol-relaxed geometry from the Alexandria database. Energies are from SCAN.

```
LaZr2Mn
1.0
-2.347 -2.905 -2.408
0.426 -3.021 3.231
-2.798 4.443 1.467
La Mn Zr
1 1 2
Direct
0.500 0.500 0.000 La
0.250 0.750 0.500 Mn
0.000 0.000 0.000 Zr
0.750 0.250 0.500 Zr
```

Space-group type: I-4m2, No. 119

2 | Here is LaZr2Mn at its PBEsol-relaxed geometry from the Alexandria database. Energies are from SCAN.

```
LaZr2Mn
1.0
3.197 0.052 0.000
-0.054 3.197 0.000
0.000 0.000 8.266
La Mn Zr
1 1 2
Direct
0.500 0.500 0.500 La
0.500 0.500 0.000 Mn
0.000 0.000 0.181 Zr
0.000 0.000 0.819 Zr
```

Space-group type: P4/mmm, No. 123

3 | Here is LaZr2Mn at its PBEsol-relaxed geometry from the Alexandria database. Energies are from SCAN.

```
LaZr2Mn
1.0
3.233 0.000 0.000
0.000 5.087 0.000
0.000 0.000 5.087
La Mn Zr
1 1 2
Direct
0.500 0.500 0.500 La
0.500 0.000 0.000 Mn
0.000 0.000 0.500 Zr
0.000 0.500 0.000 Zr
```

Space-group type: P4/mmm, No. 123

Which structure is most stable, and how do the rest compare? From most to least stable: 2, 1, 3.

1 | Here is La2ZrMn at its PBEsol-relaxed geometry from the Alexandria database. Energies are from SCAN.

```
La2ZrMn
1.0
3.531 0.000 0.000
0.000 5.164 0.000
-1.766 -2.582 5.171
La Mn Zr
2 1 1
Direct
0.701 0.701 0.403 La
0.299 0.299 0.597 La
0.000 0.500 0.000 Mn
0.500 0.000 0.000 Zr
```

Space-group type: Immm, No. 71

2 | Here is La2ZrMn at its PBEsol-relaxed geometry from the Alexandria database. Energies are from SCAN.

```
La2ZrMn
1.0
-0.769 -4.290 -2.697
0.612 -4.574 2.230
-4.082 -2.943 0.975
La Mn Zr
2 1 1
Direct
0.000 0.000 0.000 La
0.750 0.750 0.750 La
0.500 0.500 0.500 Mn
0.250 0.250 0.250 Zr
```

Space-group type: F-43m, No. 216

3 | Here is La2ZrMn at its PBEsol-relaxed geometry from the Alexandria database. Energies are from SCAN.

```
La2ZrMn
1.0
3.454 0.000 0.000
0.000 3.454 0.000
0.000 0.000 8.313
La Mn Zr
2 1 1
Direct
0.000 0.000 0.968 La
0.500 0.500 0.304 La
0.000 0.000 0.542 Mn
0.500 0.500 0.686 Zr
```

Space-group type: P4mm, No. 99

Which structure is most stable, and how do the rest compare? From most to least stable: 3, 2, 1.

1 | Here is La2Mo at its PBEsol-relaxed geometry from the Alexandria database. Energies are from SCAN.

```
La2Mo
1.0
3.481 0.000 0.000
-1.740 3.014 0.000
0.000 0.000 7.315
La Mo
2 1
Direct
0.667 0.333 0.291 La
0.333 0.667 0.709 La
0.000 0.000 0.000 Mo
```

Space-group type: P-3m1, No. 164

2 | Here is La2Mo at its PBEsol-relaxed geometry from the Alexandria database. Energies are from SCAN.

```
La2Mo
1.0
4.776 0.000 0.000
-2.388 4.136 0.000
0.000 0.000 7.877
La Mo
4 2
Direct
0.000 0.000 0.000 La
0.000 0.000 0.500 La
0.667 0.333 0.750 La
0.333 0.667 0.250 La
0.667 0.333 0.250 Mo
0.333 0.667 0.750 Mo
```

Space-group type: P6_3/mmc, No. 194

Which structure is most stable, and how do the rest compare? From most to least stable: 2, 1.